Entry 1:
! PBE Sr2BiAuO5, relaxed; values from VASP
&SYSTEM
  ibrav = 0, nat = 18, ntyp = 4
/
ATOMIC_SPECIES
Sr 87.62 Sr.upf
Bi 208.98 Bi.upf
Au 196.97 Au.upf
O 16.00 O.upf
ATOMIC_POSITIONS crystal
Sr 0.0704 0.9296 0.5000
Sr 0.1296 0.8704 0.1577
Sr 0.8704 0.1296 0.6577
Sr 0.9296 0.0704 0.0000
Bi 0.2303 0.7697 0.8835
Bi 0.7697 0.2303 0.3835
Au 0.4538 0.5462 0.2781
Au 0.5462 0.4538 0.7781
O 0.0927 0.9073 0.9174
O 0.2529 0.7471 0.5145
O 0.2814 0.7186 0.2604
O 0.3693 0.6307 0.8466
O 0.4859 0.5141 0.6118
O 0.5141 0.4859 0.1118
O 0.6307 0.3693 0.3466
O 0.7186 0.2814 0.7604
O 0.7471 0.2529 0.0145
O 0.9073 0.0927 0.4174
CELL_PARAMETERS angstrom
1.7284 -7.5777 0.0000
1.7284 7.5777 0.0000
0.0000 0.0000 11.2725
! ρ: 7.4 g cm⁻³
! Total magnetization: 0.000 μB/atom
! Formation energy (no corrections): -1.506 eV/atom
! Crystal system: orthorhombic
! SG: Cmc2_1

***

Entry 2:
! PBE PmHo7In2, relaxed; values from VASP
&SYSTEM
  ibrav = 0, nat = 10, ntyp = 3
/
ATOMIC_SPECIES
Pm 145.00 Pm.upf
Ho 164.93 Ho.upf
In 114.82 In.upf
ATOMIC_POSITIONS crystal
Pm 0.0000 0.0000 0.0000
Ho 0.0583 0.3030 0.5000
Ho 0.2330 0.7670 0.0000
Ho 0.3030 0.0583 0.5000
Ho 0.5000 0.5000 0.5000
Ho 0.6970 0.9417 0.5000
Ho 0.7670 0.2330 0.0000
Ho 0.9417 0.6970 0.5000
In 0.3028 0.6972 0.5000
In 0.6972 0.3028 0.5000
CELL_PARAMETERS angstrom
4.5475 -7.5993 0.0000
4.5475 7.5993 0.0000
0.0000 0.0000 5.5075
! ρ: 6.7 g cm⁻³
! Total magnetization: 0.212 μB/atom
! Formation energy from the elements: 34 kJ/mol of atoms
! Crystal system: orthorhombic
! SG: Cmmm

***

Entry 3:
! PBE Ti2HgBrF, relaxed; values from VASP
&SYSTEM
  ibrav = 0, nat = 5, ntyp = 4
/
ATOMIC_SPECIES
Ti 47.87 Ti.upf
Hg 200.59 Hg.upf
Br 79.90 Br.upf
F 19.00 F.upf
ATOMIC_POSITIONS crystal
Ti 0.0000 0.5000 0.0000
Ti 0.5000 0.0000 0.0000
Hg 0.0000 0.0000 0.0000
Br 0.0000 0.0000 0.5000
F 0.5000 0.5000 0.5000
CELL_PARAMETERS angstrom
5.3156 0.0000 0.0000
0.0000 5.3156 0.0000
0.0000 0.0000 5.5056
! ρ: 4.2 g cm⁻³
! Total magnetization: 0.787 μB/atom
! Formation energy (no corrections): 0.697 eV/atom
! Crystal system: tetragonal
! SG: P4/mmm

***

Entry 4:
! PBE TbErBe2, relaxed; values from VASP
&SYSTEM
  ibrav = 0, nat = 4, ntyp = 3
/
ATOMIC_SPECIES
Tb 158.93 Tb.upf
Er 167.26 Er.upf
Be 9.01 Be.upf
ATOMIC_POSITIONS crystal
Tb 0.0000 0.0000 0.0000
Er 0.5000 0.5000 0.0000
Be 0.0000 0.5000 0.5000
Be 0.5000 0.0000 0.5000
CELL_PARAMETERS angstrom
4.7938 0.0000 0.0000
0.0000 4.7938 0.0000
0.0000 0.0000 3.4122
! ρ: 7.3 g cm⁻³
! Total magnetization: 0.000 μB/atom
! Formation energy from the elements: 9 kJ/mol of atoms
! Crystal system: tetragonal
! SG: P4/mmm